1.
VASP calculation (PBE) on crystalline Ga4Ni15W at its relaxed geometry.

Properties
Total magnetization   1.48 μB per cell
Total DFT energy (no corrections)   -5.856 eV per atom
Energy of formation from the pure elements   -267 meV/atom
Crystal system   tetragonal

a = 3.600 Å, b = 3.600 Å, c = 17.888 Å
α = 90.00°, β = 90.00°, γ = 90.00°
Fractional coordinates of all 20 atoms:
Ga  0.000  0.000  0.099
Ga  0.000  0.000  0.295
Ga  0.000  0.000  0.705
Ga  0.000  0.000  0.901
Ni  0.000  0.500  0.000
Ni  0.000  0.500  0.199
Ni  0.000  0.500  0.400
Ni  0.000  0.500  0.600
Ni  0.000  0.500  0.801
Ni  0.500  0.000  0.000
Ni  0.500  0.000  0.199
Ni  0.500  0.000  0.400
Ni  0.500  0.000  0.600
Ni  0.500  0.000  0.801
Ni  0.500  0.500  0.100
Ni  0.500  0.500  0.300
Ni  0.500  0.500  0.500
Ni  0.500  0.500  0.700
Ni  0.500  0.500  0.900
W  0.000  0.000  0.500

***

2.
VASP calculation (PBE) on crystalline GaNi14W at its relaxed geometry.

Properties
Total magnetization   4.38 μB per cell
Total DFT energy (no corrections)   -6.138 eV per atom
Energy of formation from the pure elements   -80 meV/atom
Crystal system   tetragonal

a = 5.063 Å, b = 5.063 Å, c = 7.058 Å
α = 90.00°, β = 90.00°, γ = 90.00°
Fractional coordinates of all 16 atoms:
Ga  0.000  0.000  0.000
Ni  0.000  0.000  0.500
Ni  0.000  0.500  0.000
Ni  0.000  0.500  0.500
Ni  0.250  0.250  0.254
Ni  0.250  0.250  0.746
Ni  0.250  0.750  0.254
Ni  0.250  0.750  0.746
Ni  0.500  0.000  0.000
Ni  0.500  0.000  0.500
Ni  0.500  0.500  0.500
Ni  0.750  0.250  0.254
Ni  0.750  0.250  0.746
Ni  0.750  0.750  0.254
Ni  0.750  0.750  0.746
W  0.500  0.500  0.000